No. 1
{
  "formula": "MnTlIn2",
  "functional": "PBEsol",
  "state": "relaxed",
  "n_ef_per_ev_atom": 0.720,
  "energy_ev_per_cell": -17.3,
  "formation_energy_kj_per_mol_atoms": 26.2,
  "spacegroup": "Immm (71)",
  "lattice": [[-1.509, 2.344, 6.340], [1.509, -2.344, 6.340], [1.509, 2.344, -6.340]],
  "species": ["Mn", "Tl", "In", "In"],
  "frac_coords": [[0.000, 0.000, 0.000], [0.500, 0.500, 0.000], [0.190, 0.690, 0.500], [0.810, 0.310, 0.500]]
}

No. 2
{
  "formula": "MnTl2In",
  "functional": "PBEsol",
  "state": "relaxed",
  "n_ef_per_ev_atom": 0.494,
  "energy_ev_per_cell": -16.9,
  "formation_energy_kj_per_mol_atoms": 26.1,
  "spacegroup": "P4mm (99)",
  "lattice": [[3.175, 0.000, 0.000], [0.000, 3.175, 0.000], [0.000, 0.000, 9.009]],
  "species": ["Mn", "Tl", "Tl", "In"],
  "frac_coords": [[0.000, 0.000, 0.000], [0.000, 0.000, 0.516], [0.500, 0.500, 0.208], [0.500, 0.500, 0.810]]
}

No. 3
{
  "formula": "MnTlIn",
  "functional": "PBEsol",
  "state": "relaxed",
  "n_ef_per_ev_atom": 0.976,
  "energy_ev_per_cell": -14.1,
  "formation_energy_kj_per_mol_atoms": 42.2,
  "spacegroup": "P3m1 (156)",
  "lattice": [[3.227, 0.000, 0.000], [-1.614, 2.795, 0.000], [0.000, 0.000, 6.977]],
  "species": ["Mn", "Tl", "In"],
  "frac_coords": [[0.000, 0.000, 0.000], [0.333, 0.667, 0.685], [0.667, 0.333, 0.301]]
}

No. 4
{
  "formula": "MnTlIn",
  "functional": "PBEsol",
  "state": "relaxed",
  "n_ef_per_ev_atom": 0.472,
  "energy_ev_per_cell": -13.9,
  "formation_energy_kj_per_mol_atoms": 47.1,
  "spacegroup": "P3m1 (156)",
  "lattice": [[4.667, 0.000, 0.000], [-2.334, 4.042, 0.000], [0.000, 0.000, 3.460]],
  "species": ["Mn", "Tl", "In"],
  "frac_coords": [[0.000, 0.000, 0.000], [0.333, 0.667, 0.712], [0.667, 0.333, 0.302]]
}